# 1
AcPmNd3Tm: optimized geometry, PBE.

```
data_AcPmNd3Tm
_cell_length_a 8.2604
_cell_length_b 5.2395
_cell_length_c 10.4621
_cell_angle_alpha 90.00
_cell_angle_beta 108.73
_cell_angle_gamma 90.00
_symmetry_space_group_name_H-M 'P 1 21/m 1'
_symmetry_Int_Tables_number 11
loop_
_symmetry_equiv_pos_as_xyz
'x,y,z'
'-x,-y,-z'
'-x,y+1/2,-z'
'x,-y+1/2,z'
loop_
_atom_site_label
_atom_site_fract_x
_atom_site_fract_y
_atom_site_fract_z
Ac1 0.1710 0.2500 0.2940
Pm1 0.4968 0.7500 0.8751
Nd1 0.1721 0.7500 0.0407
Nd2 0.1728 0.2500 0.7922
Nd3 0.1735 0.7500 0.5464
Tm1 0.4983 0.2500 0.6262
```

Computed properties:
Mass density (g cm⁻³): 7.54
Electronic total energy (eV/f.u.): -27.41
N(E_F) (states/eV per atom): 1.6666

=====

# 2
AcPm6Nd3Tm2: optimized geometry, PBE.

```
data_AcPm6Nd3Tm2
_cell_length_a 6.3344
_cell_length_b 10.9600
_cell_length_c 12.1619
_cell_angle_alpha 90.00
_cell_angle_beta 99.97
_cell_angle_gamma 90.00
_symmetry_space_group_name_H-M 'C 1 2/m 1'
_symmetry_Int_Tables_number 12
loop_
_symmetry_equiv_pos_as_xyz
'x,y,z'
'-x,-y,-z'
'-x,y,-z'
'x,-y,z'
'x+1/2,y+1/2,z'
'-x+1/2,-y+1/2,-z'
'-x+1/2,y+1/2,-z'
'x+1/2,-y+1/2,z'
loop_
_atom_site_label
_atom_site_fract_x
_atom_site_fract_y
_atom_site_fract_z
Ac1 0.0000 0.0000 0.0000
Pm1 0.2470 0.5000 0.2502
Pm2 0.2479 0.3316 0.7500
Nd1 0.0000 0.1672 0.5000
Nd2 0.0000 0.5000 0.5000
Tm1 0.0000 0.3333 0.0000
```

Computed properties:
Mass density (g cm⁻³): 7.46
Electronic total energy (eV/f.u.): -55.54
N(E_F) (states/eV per atom): 1.4117

=====

# 3
AcPm5Nd2Tm: optimized geometry, PBE.

```
data_AcPm5Nd2Tm
_cell_length_a 8.9949
_cell_length_b 8.9949
_cell_length_c 15.8577
_cell_angle_alpha 90.00
_cell_angle_beta 90.00
_cell_angle_gamma 90.00
_symmetry_space_group_name_H-M 'I 4/m c m'
_symmetry_Int_Tables_number 140
_symmetry_space_group_name_Hall '-I 4 2c'
loop_
_atom_site_label
_atom_site_fract_x
_atom_site_fract_y
_atom_site_fract_z
Ac1 0.0000 0.0000 0.2500
Pm1 0.0000 0.0000 0.0000
Pm2 0.2055 0.2945 0.1339
Nd1 0.1170 0.3830 0.5000
Tm1 0.0000 0.5000 0.2500
```

Computed properties:
Mass density (g cm⁻³): 7.30
Electronic total energy (eV/f.u.): -39.53
N(E_F) (states/eV per atom): 1.2441

=====

# 4
AcPmNd2Tm4: optimized geometry, PBE.

```
data_AcPmNd2Tm4
_cell_length_a 12.5514
_cell_length_b 7.2543
_cell_length_c 12.3923
_cell_angle_alpha 90.00
_cell_angle_beta 109.70
_cell_angle_gamma 90.00
_symmetry_space_group_name_H-M 'C 1 2/m 1'
_symmetry_Int_Tables_number 12
loop_
_symmetry_equiv_pos_as_xyz
'x,y,z'
'-x,-y,-z'
'-x,y,-z'
'x,-y,z'
'x+1/2,y+1/2,z'
'-x+1/2,-y+1/2,-z'
'-x+1/2,y+1/2,-z'
'x+1/2,-y+1/2,z'
loop_
_atom_site_label
_atom_site_fract_x
_atom_site_fract_y
_atom_site_fract_z
Ac1 0.0000 0.0000 0.0000
Ac2 0.0000 0.0000 0.5000
Pm1 0.2500 0.2500 0.0000
Nd1 0.0000 0.5000 0.0000
Nd2 0.0000 0.5000 0.5000
Nd3 0.2500 0.2500 0.5000
Tm1 0.9998 0.2538 0.2496
Tm2 0.2482 0.5000 0.2478
Tm3 0.2483 0.5000 0.7485
```

Computed properties:
Mass density (g cm⁻³): 8.35
Electronic total energy (eV/f.u.): -36.03
N(E_F) (states/eV per atom): 1.1240